[1]
Crystalline Sm2HfAg at its relaxed geometry. Source: Alexandria via LeMat-Bulk, functional PBE.

Lattice parameters (Å, degrees): 3.468 3.468 8.790 90.00 90.00 90.00
Fractional coordinates of all 4 atoms:
Ag: 0.500 0.500 0.000
Sm: 0.000 0.000 0.761
Sm: 0.000 0.000 0.239
Hf: 0.500 0.500 0.500

- ΔH_f (0 K): -0.04 eV/atom
- Size of the total moment: 0.00 μB per formula unit
- DOS(E_F): 3.7 states/eV/cell

[2]
Crystalline SmHfTcAg at its relaxed geometry. Source: Alexandria via LeMat-Bulk, functional PBE.

Lattice parameters (Å, degrees): 4.881 4.881 4.881 60.00 60.00 60.00
Fractional coordinates of all 4 atoms:
Sm: 0.000 0.000 0.000
Hf: 0.500 0.500 0.500
Tc: 0.750 0.750 0.750
Ag: 0.250 0.250 0.250

- ΔH_f (0 K): -0.05 eV/atom
- Size of the total moment: 0.00 μB per formula unit
- DOS(E_F): 3.0 states/eV/cell

[3]
Crystalline Hf2AgSn2 at its relaxed geometry. Source: Alexandria via LeMat-Bulk, functional PBE.

Lattice parameters (Å, degrees): 8.456 8.456 3.257 90.00 90.00 90.00
Fractional coordinates of all 10 atoms:
Ag: 0.500 0.500 0.000
Sn: 0.830 0.330 0.500
Sn: 0.670 0.830 0.500
Hf: 0.128 0.372 0.000
Sn: 0.330 0.170 0.500
Sn: 0.170 0.670 0.500
Hf: 0.872 0.628 0.000
Hf: 0.372 0.872 0.000
Hf: 0.628 0.128 0.000
Ag: 0.000 0.000 0.000

- ΔH_f (0 K): 0.01 eV/atom
- Size of the total moment: 0.00 μB per formula unit
- DOS(E_F): 9.0 states/eV/cell